No. 1
K2Rh (PBE, optimized geometry); energy relative to the lowest polymorph listed for this composition = 301 meV per atom; formation enthalpy at 0 K = 0.655 eV/atom
1.0
-7.8694 -0.6115 5.4507
7.3825 -2.3297 -5.6642
3.2706 -0.8771 4.6235
K Rh
4 2
direct
0.2135 0.7865 0.2500
0.4576 0.5424 0.7500
0.7865 0.2135 0.7500
0.5424 0.4576 0.2500
0.8763 0.1237 0.2500
0.1237 0.8763 0.7500

No. 2
YBe2P (PBE, optimized geometry); formation enthalpy at 0 K = -0.284 eV/atom
1.0
-0.2604 2.2789 -3.4268
0.6479 -3.3682 -2.2891
-7.2835 -1.8011 -3.1254
P Be Y
2 4 2
direct
0.2500 0.7500 0.5000
0.5000 0.5000 0.0000
0.3750 0.6250 0.2500
0.3750 0.1250 0.2500
0.3750 0.6250 0.7500
0.8750 0.6250 0.7500
0.0000 0.0000 0.0000
0.7500 0.2500 0.5000

No. 3
NaTb2In (PBE, optimized geometry); formation enthalpy at 0 K = 0.042 eV/atom
1.0
-2.2137 1.3144 2.3975
-1.5055 -2.1313 2.3595
8.0417 1.5519 9.1553
Na Tb In
1 2 1
direct
0.0000 0.0000 0.0000
0.0973 0.0973 0.7080
0.9027 0.9027 0.2920
0.5000 0.5000 0.5000

No. 4
Nd2Sm3Er7 (PBE, optimized geometry); energy relative to the lowest polymorph listed for this composition = 20 meV per atom; formation enthalpy at 0 K = 0.108 eV/atom
1.0
3.6009 0.0000 0.0000
0.0000 5.6956 0.0000
0.0000 -2.8478 19.0140
Sm Er Nd
3 7 2
direct
0.5000 0.5000 0.0000
0.5000 0.6858 0.3717
0.5000 0.3142 0.6283
0.0000 0.0000 0.0000
0.0000 0.5892 0.1783
0.5000 0.9293 0.8585
0.0000 0.2304 0.4607
0.0000 0.4108 0.8217
0.5000 0.0707 0.1415
0.0000 0.7696 0.5393
0.0000 0.1465 0.2930
0.0000 0.8535 0.7070

No. 5
TaIn2Mo (PBE, optimized geometry); energy relative to the lowest polymorph listed for this composition = 129 meV per atom; formation enthalpy at 0 K = 0.321 eV/atom
1.0
5.5035 -0.0016 -0.0002
2.4099 4.9478 0.0002
-3.5212 -3.1699 2.8003
In Ta Mo
2 1 1
direct
0.5053 0.5053 0.0000
0.9947 0.9947 0.0000
0.2500 0.7500 0.5000
0.7500 0.2500 0.5000

No. 6
Sr6YScB6O18 (PBE, optimized geometry); uncorrected formation energy = -2950 meV per atom
1.0
-5.6450 -4.7883 -2.5526
2.4519 -3.1421 6.7398
-3.6868 6.5986 2.0435
Sr B O Sc Y
6 6 18 1 1
direct
0.3559 0.7340 0.8457
0.2660 0.1543 0.6441
0.6441 0.2660 0.1543
0.8457 0.3559 0.7340
0.1543 0.6441 0.2660
0.7340 0.8457 0.3559
0.7071 0.6169 0.9565
0.0435 0.2929 0.3831
0.2929 0.3831 0.0435
0.6169 0.9565 0.7071
0.9565 0.7071 0.6169
0.3831 0.0435 0.2929
0.0608 0.8094 0.5370
0.9769 0.2653 0.1909
0.2653 0.1909 0.9769
0.9392 0.1906 0.4630
0.0231 0.7347 0.8091
0.5370 0.0608 0.8094
0.5035 0.7801 0.5672
0.4328 0.4965 0.2199
0.8091 0.0231 0.7347
0.2199 0.4328 0.4965
0.5672 0.5035 0.7801
0.4630 0.9392 0.1906
0.7347 0.8091 0.0231
0.7801 0.5672 0.5035
0.8094 0.5370 0.0608
0.1909 0.9769 0.2653
0.1906 0.4630 0.9392
0.4965 0.2199 0.4328
0.5000 0.5000 0.5000
0.0000 0.0000 0.0000

No. 7
Sr5Pa3As8 (PBE, optimized geometry); formation enthalpy at 0 K = -1.164 eV/atom
1.0
7.4973 0.0000 4.2945
2.5187 7.0615 4.2945
0.0010 0.0007 8.6899
Sr As Pa
5 8 3
direct
0.0000 0.5000 0.0000
0.5000 0.5000 0.5000
0.5000 0.5000 0.0000
0.0000 0.0000 0.0000
0.5000 0.0000 0.0000
0.2389 0.2389 0.2832
0.7611 0.7611 0.7168
0.7501 0.2191 0.2807
0.7501 0.7501 0.2807
0.2191 0.7501 0.2807
0.2499 0.7809 0.7193
0.7809 0.2499 0.7193
0.2499 0.2499 0.7193
0.0000 0.0000 0.5000
0.5000 0.0000 0.5000
0.0000 0.5000 0.5000

No. 8
ZrTiMoRh (PBE, optimized geometry); energy relative to the lowest polymorph listed for this composition = 14 meV per atom; formation enthalpy at 0 K = -0.441 eV/atom
1.0
-2.6841 3.6470 0.4948
-3.8145 -0.2979 2.4721
-0.2697 2.0991 4.0338
Mo Zr Rh Ti
1 1 1 1
direct
0.5000 0.5000 0.5000
0.7500 0.7500 0.7500
0.0000 0.0000 0.0000
0.2500 0.2500 0.2500

No. 9
K2BPbI (PBE, optimized geometry); uncorrected formation energy = -5 meV per atom
1.0
6.4535 0.0000 0.0000
0.0000 4.3301 0.0000
0.0000 0.0000 6.4535
I B K Pb
1 1 2 1
direct
0.5000 0.5000 0.5000
0.0000 0.0000 0.0000
0.0000 0.0000 0.5000
0.5000 0.0000 0.0000
0.0000 0.5000 0.0000

No. 10
TaNi2P (PBE, optimized geometry); formation enthalpy at 0 K = -0.243 eV/atom
1.0
-2.3863 -1.1066 1.3697
0.2978 -2.5273 -1.5230
3.4164 -2.1416 4.2218
Ni P Ta
2 1 1
direct
0.5000 0.5000 0.2736
0.0000 0.0000 0.0294
0.0000 0.0000 0.4450
0.5000 0.5000 0.7520

No. 11
Bi4S5Br2 (PBE, optimized geometry); uncorrected formation energy = -260 meV per atom
1.0
7.8630 0.0000 0.0000
-3.9315 5.8092 -1.7930
0.0000 -0.3567 7.2343
Bi S Br
4 5 2
direct
0.2977 0.5955 0.0564
0.2934 0.5867 0.5643
0.7023 0.4045 0.9436
0.7066 0.4133 0.4357
0.1194 0.7118 0.8328
0.5923 0.7118 0.8328
0.5000 0.0000 0.5000
0.8806 0.2882 0.1672
0.4077 0.2882 0.1672
0.0881 0.1762 0.7373
0.9119 0.8238 0.2627

No. 12
Cu2MoSe2 (PBE, optimized geometry); uncorrected formation energy = 252 meV per atom; energy relative to the lowest polymorph listed for this composition = 59 meV per atom
1.0
6.8531 0.0000 0.0000
0.0000 6.8531 0.0000
0.0000 0.0000 3.4748
Cu Se Mo
4 4 2
direct
0.6374 0.8626 0.5000
0.1374 0.6374 0.5000
0.3626 0.1374 0.5000
0.8626 0.3626 0.5000
0.8293 0.6707 0.0000
0.3293 0.8293 0.0000
0.6707 0.1707 0.0000
0.1707 0.3293 0.0000
0.5000 0.5000 0.0000
0.0000 0.0000 0.0000